Crystalline AlFeAs2 at its relaxed geometry, computed with PBE-GGA.

Cell lengths 4.4783, 4.4783, 3.7090 Å; angles 77.28, 77.28, 104.86 degrees
Closest atoms and distances in Å follow each position.
Positions (direct):
As: 0.0000 0.0000 0.0000  2 Fe 2.57, 2 Al 2.57, 2 As 2.73
As: 0.5000 0.5000 0.0000  2 Al 2.57, 2 Fe 2.57, 2 As 2.73
Al: 0.0000 0.5000 0.5000  4 As 2.57, 2 Fe 2.73
Fe: 0.5000 0.0000 0.5000  4 As 2.57, 2 Al 2.73

Calculated values
V, Å³ per cell: 67
Final energy, eV/atom: -5.181
Energy of formation, kJ/mol of atoms: 18.8



Crystalline CoPdPt14 at its relaxed geometry, computed with PBE-GGA.

Cell lengths 5.5588, 5.5588, 9.2554 Å; angles 90.00, 90.00, 120.09 degrees
Closest atoms and distances in Å follow each position.
Positions (direct):
Pt: 0.7091 0.2909 0.0000  12 Pt 2.77-2.85
Co: 0.5411 0.4589 0.5000  10 Pt 2.75-2.80, 2 Pd 2.78
Pt: 0.8724 0.6233 0.7446  10 Pt 2.75-2.87, 1 Co 2.77, 1 Pd 2.79
Pt: 0.7090 0.7898 0.0000  12 Pt 2.77-2.87
Pt: 0.3771 0.6229 0.2571  1 Co 2.75, 11 Pt 2.75-2.87
Pt: 0.3767 0.1276 0.7446  10 Pt 2.75-2.87, 1 Co 2.77, 1 Pd 2.79
Pt: 0.3771 0.6229 0.7429  1 Co 2.75, 11 Pt 2.75-2.87
Pd: 0.0392 0.9608 0.5000  10 Pt 2.77-2.80, 2 Co 2.78
Pt: 0.8752 0.1248 0.2505  11 Pt 2.78-2.82, 1 Pd 2.80
Pt: 0.0384 0.4594 0.5000  2 Co 2.76-2.80, 8 Pt 2.76-2.82, 2 Pd 2.77-2.79
Pt: 0.8752 0.1248 0.7495  11 Pt 2.78-2.82, 1 Pd 2.80
Pt: 0.5406 0.9616 0.5000  2 Co 2.76-2.80, 8 Pt 2.76-2.82, 2 Pd 2.77-2.79
Pt: 0.8724 0.6233 0.2554  10 Pt 2.75-2.87, 1 Co 2.77, 1 Pd 2.79
Pt: 0.2097 0.7903 0.0000  12 Pt 2.78-2.87
Pt: 0.3767 0.1276 0.2554  10 Pt 2.75-2.87, 1 Co 2.77, 1 Pd 2.79
Pt: 0.2102 0.2910 0.0000  12 Pt 2.77-2.87

Calculated values
V, Å³ per cell: 247
Final energy, eV/atom: -6.052
Energy of formation, kJ/mol of atoms: 0.2



Crystalline MgPa2Ni at its relaxed geometry, computed with PBE-GGA.

Cell lengths 3.1323, 3.1323, 10.9144 Å; angles 81.75, 81.75, 60.00 degrees
Closest atoms and distances in Å follow each position.
Positions (direct):
Mg: 0.0000 0.0000 0.0000  6 Mg 3.13, 2 Pa 3.26
Ni: 0.5000 0.5000 0.5000  6 Pa 2.79
Pa: 0.8991 0.8991 0.3027  3 Ni 2.79
Pa: 0.1009 0.1009 0.6973  3 Ni 2.79

Calculated values
V, Å³ per cell: 91
Final energy, eV/atom: -6.361
Energy of formation, kJ/mol of atoms: 22.2



Crystalline Te2PdPtN at its relaxed geometry, computed with PBE-GGA.

Cell lengths 5.4190, 5.4190, 3.6242 Å; angles 90.00, 90.00, 90.00 degrees
Closest atoms and distances in Å follow each position.
Positions (direct):
Te: 0.5000 0.0000 0.0000  2 Pd 2.71
Pt: 0.5000 0.5000 0.5000  8 Te 3.26, 2 Pt 3.62
N: 0.0000 0.0000 0.5000  2 Pd 1.81
Te: 0.0000 0.5000 0.0000  2 Pd 2.71
Pd: 0.0000 0.0000 0.0000  2 N 1.81

Calculated values
V, Å³ per cell: 106
Formation energy from raw total energies, eV/atom: 0.81
Final energy, eV/atom: -4.360
Distance to the lowest polymorph of the same formula, meV/atom: 280